(1)
A plane-wave DFT calculation with PBE was carried out for an optimized crystal structure of Co2N.

Unit cell a=8.041 b=8.041 c=8.041 alpha=90.00 beta=90.00 gamma=90.00
Space group Fd-3m (No. 227, origin choice 2)
Inequivalent atoms, fractional coordinates:
1 Co 0.000 0.000 0.000 x16
2 N 0.125 0.125 0.125 x8

Values from the calculation:
Uncorrected energy   -6.575 eV per atom
Magnetization   2.20 μB per formula unit



(2)
A plane-wave DFT calculation with PBE was carried out for an optimized crystal structure of NaCo3N5.

Unit cell a=4.8007 b=4.8007 c=4.0653 alpha=90.00 beta=90.00 gamma=120.00
Space group P6/mmm (No. 191)
Inequivalent atoms, fractional coordinates:
1 Na 0.0000 0.0000 0.0000 x1
2 Co 0.0000 0.5000 0.5000 x3
3 N 0.0000 0.0000 0.5000 x1
4 N 0.3333 0.6667 0.1553 x4

Values from the calculation:
Uncorrected energy   -6.657 eV per atom
Magnetization   0.99 μB per formula unit